Entry 1
DFT (PBE-GGA) results for a geometry-optimized Er2Se2O structure.

```
Er2Se2O
1.0
6.251 -2.841 0.000
6.251 2.841 0.000
-4.039 0.000 6.782
Er Se O
4 4 2
direct
0.030 0.030 0.320
0.308 0.308 0.883
0.692 0.692 0.117
0.970 0.970 0.680
0.178 0.178 0.101
0.458 0.458 0.717
0.542 0.542 0.283
0.822 0.822 0.899
0.125 0.125 0.635
0.875 0.875 0.365
```

Calculated values
Its theoretical density is 7.01 g/cm³. As for the volume: 241 Å³ per cell. The density of states at the Fermi level is 0.000 states/eV per atom.

Entry 2
DFT (PBE-GGA) results for a geometry-optimized Er2Se2O structure.

```
Er2Se2O
1.0
-3.410 5.431 2.840
3.410 -5.431 2.840
3.410 5.431 -2.840
Er Se O
4 4 2
direct
0.098 0.205 0.303
0.402 0.705 0.107
0.598 0.295 0.893
0.902 0.795 0.697
0.145 0.639 0.784
0.355 0.139 0.494
0.645 0.861 0.506
0.855 0.361 0.216
0.250 0.250 0.000
0.750 0.750 0.000
```

Calculated values
Its theoretical density is 8.03 g/cm³. As for the volume: 210 Å³ per cell. The density of states at the Fermi level is 0.002 states/eV per atom.

Most stable structure, least stable structure: entry 1, entry 2.